# CaRu2, optimized geometry, DFT PBE
# DFT total energy   -39.5 eV for the cell shown
# Crystal system   orthorhombic
# Total magnetization   0.00 μB/f.u.
# DFT formation energy   0.26 eV per atom
data_CaRu2
_chemical_formula_sum 'Ca2 Ru4'
_cell_length_a 2.888
_cell_length_b 3.717
_cell_length_c 10.709
_cell_angle_alpha 90.00
_cell_angle_beta 90.00
_cell_angle_gamma 90.00
_space_group_name_H-M_alt 'I m m m'
_space_group_IT_number 71
_space_group_name_Hall '-I 2 2'
loop_
_atom_site_label
_atom_site_type_symbol
_atom_site_fract_x
_atom_site_fract_y
_atom_site_fract_z
_atom_site_occupancy
Ca1 Ca 0.000 0.000 0.000 1
Ru1 Ru 0.000 0.000 0.293 1